[1]
Compound: TbYRh
Source: Alexandria via LeMat-Bulk
Functional: PBE
Structure: optimized geometry

The space group is P3m1 (No. 156) and the conventional cell measures 4.5715, 4.5715 and 4.1151 Å, with angles of 90.00, 90.00 and 120.00 degrees. The asymmetric unit holds Tb at (0.0000, 0.0000, 0.0000), Y at (0.3333, 0.6667, 0.4701) and Rh at (0.6667, 0.3333, 0.7407).

As for the energy relative to the lowest polymorph listed for this composition: 238 meV per atom. As for the formation energy: -386 meV/atom.


[2]
Compound: PmSi3Os2
Source: Alexandria via LeMat-Bulk
Functional: PBE
Structure: optimized geometry

The space group is Cmcm (No. 63) and the conventional cell measures 9.499, 7.515 and 5.634 Å, with angles of 90.00, 90.00 and 90.00 degrees. The asymmetric unit holds Pm at (0.000, 0.162, 0.250), Si at (0.000, 0.439, 0.750), Si at (0.177, 0.213, 0.750) and Os at (0.204, 0.500, 0.000).

Its uncorrected formation energy is -510 meV per atom.


[3]
Compound: RbYS2Cl
Source: Alexandria via LeMat-Bulk
Functional: PBE
Structure: optimized geometry

The space group is P4/mmm (No. 123) and the conventional cell measures 5.847, 5.847 and 4.754 Å, with angles of 90.00, 90.00 and 90.00 degrees. The asymmetric unit holds Rb at (0.000, 0.000, 0.000), Y at (0.500, 0.500, 0.000), S at (0.000, 0.500, 0.500) and Cl at (0.500, 0.500, 0.500).

Its uncorrected formation energy is -298 meV per atom. As for the energy relative to the lowest polymorph listed for this composition: 1235 meV per atom.


[4]
Compound: CaZnSiSF
Source: Alexandria via LeMat-Bulk
Functional: PBE
Structure: optimized geometry

The space group is P1 (No. 1) and the conventional cell measures 3.676, 4.420 and 7.513 Å, with angles of 91.91, 90.21 and 114.22 degrees. The asymmetric unit holds Ca at (0.000, 0.000, 0.000), Zn at (0.412, 0.833, 0.532), Si at (0.712, 0.421, 0.466), S at (0.707, 0.418, 0.174) and F at (0.435, 0.871, 0.841).

Its uncorrected formation energy is -1406 meV per atom. As for the energy relative to the lowest polymorph listed for this composition: 0 meV per atom.


[5]
Compound: LaP2CO
Source: Alexandria via LeMat-Bulk
Functional: PBE
Structure: optimized geometry

The space group is P4/mmm (No. 123) and the conventional cell measures 5.927, 5.927 and 4.240 Å, with angles of 90.00, 90.00 and 90.00 degrees. The asymmetric unit holds La at (0.000, 0.000, 0.000), P at (0.000, 0.500, 0.000), C at (0.500, 0.500, 0.500) and O at (0.000, 0.000, 0.500).

Its uncorrected formation energy is 1425 meV per atom. As for the energy relative to the lowest polymorph listed for this composition: 1683 meV per atom.


[6]
Compound: BaCoRe2
Source: Alexandria via LeMat-Bulk
Functional: PBE
Structure: optimized geometry

The space group is R-3m (No. 166, hexagonal axes) and the conventional cell measures 2.8798, 2.8798 and 30.4785 Å, with angles of 90.00, 90.00 and 120.00 degrees. The asymmetric unit holds Ba at (0.0000, 0.0000, 0.0000), Co at (0.0000, 0.0000, 0.5000) and Re at (0.0000, 0.0000, 0.2316).

As for the energy relative to the lowest polymorph listed for this composition: 669 meV per atom. As for the formation energy: 1166 meV/atom.


[7]
Compound: Er3TmAl
Source: Alexandria via LeMat-Bulk
Functional: PBE
Structure: optimized geometry

The space group is C2/m (No. 12) and the conventional cell measures 12.781, 3.542 and 12.291 Å, with angles of 90.00, 95.30 and 90.00 degrees. The asymmetric unit holds Er at (0.035, 0.000, 0.194), Er at (0.135, 0.500, 0.980), Er at (0.141, 0.000, 0.450), Tm at (0.225, 0.000, 0.749) and Al at (0.052, 0.500, 0.624).

As for the energy relative to the lowest polymorph listed for this composition: 0 meV per atom. As for the formation energy: -151 meV/atom.


[8]
Compound: TcP3
Source: Alexandria via LeMat-Bulk
Functional: PBE
Structure: optimized geometry

The space group is Pmmn (No. 59, origin choice 2) and the conventional cell measures 4.799, 6.606 and 4.005 Å, with angles of 90.00, 90.00 and 90.00 degrees. The asymmetric unit holds Tc at (0.250, 0.250, 0.208), P at (0.250, 0.041, 0.700) and P at (0.250, 0.750, 0.957).

As for the energy relative to the lowest polymorph listed for this composition: 629 meV per atom. As for the formation energy: 184 meV/atom.


[9]
Compound: Cu2RuCl
Source: Alexandria via LeMat-Bulk
Functional: PBE
Structure: optimized geometry

The space group is Cm (No. 8) and the conventional cell measures 8.161, 2.879 and 6.207 Å, with angles of 90.00, 97.67 and 90.00 degrees. The asymmetric unit holds Cu at (0.000, 0.000, 0.000), Cu at (0.240, 0.500, 0.176), Ru at (0.259, 0.000, 0.835) and Cl at (0.188, 0.500, 0.529).

Its uncorrected formation energy is 352 meV per atom. As for the energy relative to the lowest polymorph listed for this composition: 36 meV per atom.


[10]
Compound: YTmIn
Source: Alexandria via LeMat-Bulk
Functional: PBE
Structure: optimized geometry

The space group is P4/nmm (No. 129, origin choice 2) and the conventional cell measures 4.578, 4.578 and 8.349 Å, with angles of 90.00, 90.00 and 90.00 degrees. The asymmetric unit holds Y at (0.250, 0.250, 0.148), Tm at (0.250, 0.750, 0.500) and In at (0.250, 0.250, 0.769).

As for the energy relative to the lowest polymorph listed for this composition: 26 meV per atom. As for the formation energy: -298 meV/atom.


[11]
Compound: Ce4SnTe2As
Source: Alexandria via LeMat-Bulk
Functional: PBE
Structure: optimized geometry

The space group is P2/m (No. 10) and the conventional cell measures 7.682, 4.436 and 7.700 Å, with angles of 90.00, 109.48 and 90.00 degrees. The asymmetric unit holds Ce at (0.234, 0.000, 0.231), Ce at (0.244, 0.500, 0.761), Sn at (0.500, 0.000, 0.000), Te at (0.000, 0.000, 0.500), Te at (0.500, 0.500, 0.500) and As at (0.000, 0.500, 0.000).

Its uncorrected formation energy is -1181 meV per atom.


[12]
Compound: BaLi4Ca8
Source: Alexandria via LeMat-Bulk
Functional: PBE
Structure: optimized geometry

The space group is I4/mmm (No. 139) and the conventional cell measures 12.077, 12.077 and 6.747 Å, with angles of 90.00, 90.00 and 90.00 degrees. The asymmetric unit holds Ba at (0.000, 0.000, 0.000), Li at (0.250, 0.250, 0.250), Ca at (0.000, 0.217, 0.500) and Ca at (0.000, 0.349, 0.000).

As for the formation energy: 39 meV/atom.